No. 1
Below is a relaxed Ba3SnAu4 crystal, with properties calculated at the PBE-GGA level.

a = 4.8847 Å, b = 7.0463 Å, c = 9.0758 Å
α = 112.84°, β = 105.61°, γ = 90.00°
Positions (direct):
Ba 0.1843 0.1843 0.3686
Ba 0.8157 0.8157 0.6314
Ba 0.0000 0.5000 0.0000
Sn 0.5000 0.0000 0.0000
Au 0.3809 0.5797 0.7618
Au 0.6191 0.4203 0.2382
Au 0.6191 0.8179 0.2382
Au 0.3809 0.1821 0.7618

## Properties
Total moment (μB per formula unit): 0.0
Space group: Immm, No. 71
Total DFT energy (no corrections) (eV per atom): -3.4774



No. 2
Below is a relaxed Tm2Ga6Ru crystal, with properties calculated at the PBE-GGA level.

a = 5.8136 Å, b = 5.7122 Å, c = 5.7122 Å
α = 59.97°, β = 90.06°, γ = 90.06°
Positions (direct):
Tm 0.8592 0.6666 0.6666
Tm 0.1408 0.3334 0.3334
Ga 0.3209 0.3495 0.8254
Ga 0.3205 0.8254 0.8254
Ga 0.3209 0.8254 0.3495
Ga 0.6791 0.6505 0.1746
Ga 0.6795 0.1746 0.1746
Ga 0.6791 0.1746 0.6505
Ru 0.0000 0.0000 0.0000

## Properties
Total moment (μB per formula unit): 0.0
Space group: C2/m, No. 12
Total DFT energy (no corrections) (eV per atom): -4.5308